(1)
Compound: La7Sm12Y
Source: Alexandria via LeMat-Bulk
Functional: PBE
Structure: optimized geometry

Values from the calculation:
**N(E_F)**: 2.090 states/eV per atom
**Energy relative to the elements**: 4.210 eV/f.u.

Cell: 12.3432 12.3432 16.1922 Å, 90.00 90.00 120.00°
Last column: nearest neighbours and their distance in Å.
Space group R-3 (No. 148, hexagonal axes)
One atom of each set of equivalent atoms:
La (0.0000, 0.0000, 0.0000) [3 per cell]  6 Sm 3.37
La (0.0533, 0.8702, 0.2884) [18 per cell]  3 La 3.49-3.65, 6 Sm 3.58-3.89
Sm (0.0257, 0.5788, 0.2209) [18 per cell]  3 Sm 3.29-3.51, 1 Y 3.50, 2 La 3.61-3.65
Sm (0.0534, 0.4663, 0.5827) [18 per cell]  4 Sm 3.27-3.51, 2 La 3.37-3.58
Y (0.0000, 0.0000, 0.5000) [3 per cell]  6 Sm 3.50

***

(2)
Compound: NdY2HfN4
Source: Alexandria via LeMat-Bulk
Functional: PBE
Structure: optimized geometry

Values from the calculation:
**Formation energy from raw total energies**: -12.9 eV/f.u.
**N(E_F)**: 0.155 states/eV per atom

Cell: 5.9451 3.4343 5.9990 Å, 90.00 109.19 90.00°
Last column: nearest neighbours and their distance in Å.
Space group P2/m (No. 10)
One atom of each set of equivalent atoms:
Nd (0.0000, 0.0000, 0.0000) [1 per cell]  6 N 2.48
Y (0.5000, 0.0000, 0.5000) [1 per cell]  6 N 2.40
Y (0.5000, 0.5000, 0.0000) [1 per cell]  6 N 2.53-2.56
Hf (0.0000, 0.5000, 0.5000) [1 per cell]  6 N 2.31-2.35
N (0.2349, 0.0000, 0.7272) [2 per cell]  2 Hf 2.35, 3 Y 2.40-2.53, 1 Nd 2.48
N (0.2449, 0.5000, 0.2714) [2 per cell]  1 Hf 2.31, 3 Y 2.40-2.56, 2 Nd 2.48

***

(3)
Compound: TeBr
Source: Alexandria via LeMat-Bulk
Functional: PBE
Structure: optimized geometry

Values from the calculation:
**Formation energy from raw total energies**: 0.0 eV/f.u.
**N(E_F)**: 0.388 states/eV per atom

Cell: 4.2321 3.1832 10.0039 Å, 90.00 90.00 90.00°
Last column: nearest neighbours and their distance in Å.
Space group Pmma (No. 51)
One atom of each set of equivalent atoms:
Te (0.2500, 0.0000, 0.1009) [2 per cell]  4 Te 2.92-3.18
Br (0.2500, 0.5000, 0.6955) [2 per cell]  2 Br 3.18, 4 Te 3.34

***

(4)
Compound: LiNdDy4S8
Source: Alexandria via LeMat-Bulk
Functional: PBE
Structure: optimized geometry

Values from the calculation:
**Formation energy from raw total energies**: -27.3 eV/f.u.
**N(E_F)**: 0.000 states/eV per atom

Cell: 8.0256 8.0256 19.9782 Å, 90.00 90.00 120.00°
Last column: nearest neighbours and their distance in Å.
Space group R3m (No. 160, hexagonal axes)
One atom of each set of equivalent atoms:
Li (0.0000, 0.0000, 0.0000) [3 per cell]  4 S 2.58-2.67
Nd (0.0000, 0.0000, 0.6280) [3 per cell]  6 S 2.79-2.88
Dy (0.0000, 0.0000, 0.2503) [3 per cell]  4 S 2.62-2.65
Dy (0.1728, 0.3455, 0.4559) [9 per cell]  6 S 2.71-2.81
S (0.0000, 0.0000, 0.3827) [3 per cell]  4 Dy 2.65-2.81
S (0.0000, 0.0000, 0.8665) [3 per cell]  1 Li 2.67, 3 Dy 2.71
S (0.0135, 0.5068, 0.3790) [9 per cell]  1 Li 2.58, 2 Dy 2.71, 1 Nd 2.79
S (0.1750, 0.3499, 0.2020) [9 per cell]  3 Dy 2.62-2.80, 1 Nd 2.88

***

(5)
Compound: AcIn2GaPd4
Source: Alexandria via LeMat-Bulk
Functional: PBE
Structure: optimized geometry

Values from the calculation:
**N(E_F)**: 0.474 states/eV per atom
**Energy relative to the elements**: -5.052 eV/f.u.

Cell: 4.5566 4.5566 27.3841 Å, 90.00 90.00 120.00°
Last column: nearest neighbours and their distance in Å.
Space group R-3m (No. 166, hexagonal axes)
One atom of each set of equivalent atoms:
Ac (0.0000, 0.0000, 0.0000) [3 per cell]  6 Pd 3.28, 6 In 3.67
In (0.0000, 0.0000, 0.2398) [6 per cell]  7 Pd 2.70-2.89
Ga (0.0000, 0.0000, 0.5000) [3 per cell]  8 Pd 2.60-2.75
Pd (0.0000, 0.0000, 0.1371) [6 per cell]  3 Ga 2.75, 4 In 2.81-2.89
Pd (0.0000, 0.0000, 0.4051) [6 per cell]  1 Ga 2.60, 3 In 2.70

***

(6)
Compound: Ba12CdAg6
Source: Alexandria via LeMat-Bulk
Functional: PBE
Structure: optimized geometry

Values from the calculation:
**N(E_F)**: 1.204 states/eV per atom
**Energy relative to the elements**: -3.334 eV/f.u.

Cell: 11.8719 11.8719 11.8719 Å, 90.00 90.00 90.00°
Last column: nearest neighbours and their distance in Å.
Space group Im-3 (No. 204)
One atom of each set of equivalent atoms:
Ba (0.0000, 0.2988, 0.1831) [24 per cell]  3 Ag 3.34-3.53
Cd (0.0000, 0.0000, 0.0000) [2 per cell]  12 Ba 4.16
Ag (0.0000, 0.1204, 0.5000) [12 per cell]  1 Ag 2.86